(1)
## FeCo2Sn3 (GGA-PBE)

Data for an optimized crystal structure of FeCo2Sn3.

abc: 5.251 5.251 4.305
angles: 90.00 90.00 119.00
Each line ends with the local moment (μB).
Positions (direct):
Co (0.500, 0.000, 0.000)  0.14
Co (0.000, 0.500, 0.000)  0.17
Fe (0.000, 0.000, 0.000)  1.63
Sn (0.500, 0.500, 0.000)  -0.06
Sn (0.832, 0.168, 0.500)  -0.03
Sn (0.168, 0.832, 0.500)  -0.03

Values from the calculation:
Space-group type: Cmmm, No. 65
E in eV per formula unit: -34.79

(2)
## FeCoSn (GGA-PBE)

Data for an optimized crystal structure of FeCoSn.

abc: 4.081 4.081 4.081
angles: 60.00 60.00 60.00
Positions (direct):
Co (0.000, 0.000, 0.000)
Fe (0.250, 0.250, 0.250)
Sn (0.750, 0.750, 0.750)

Values from the calculation:
Space-group type: F-43m, No. 216
E in eV per formula unit: -19.13

(3)
## FeCoSn2 (GGA-PBE)

Data for an optimized crystal structure of FeCoSn2.

abc: 4.639 4.639 4.639
angles: 60.00 60.00 60.00
Positions (direct):
Co (0.500, 0.500, 0.500)
Fe (0.250, 0.250, 0.250)
Sn (0.000, 0.000, 0.000)
Sn (0.750, 0.750, 0.750)

Values from the calculation:
Space-group type: F-43m, No. 216
E in eV per formula unit: -21.11

(4)
## Fe2CoSn3 (GGA-PBE)

Data for an optimized crystal structure of Fe2CoSn3.

abc: 5.351 5.351 4.333
angles: 90.00 90.00 122.17
Each line ends with the local moment (μB).
Positions (direct):
Co (0.000, 0.000, 0.000)  -0.34
Fe (0.500, 0.000, 0.000)  1.66
Fe (0.000, 0.500, 0.000)  1.54
Sn (0.500, 0.500, 0.000)  -0.09
Sn (0.837, 0.163, 0.500)  -0.05
Sn (0.163, 0.837, 0.500)  -0.05

Values from the calculation:
Space-group type: Cmmm, No. 65
E in eV per formula unit: -35.85

(5)
## FeCoSnTe3 (GGA-PBE)

Data for an optimized crystal structure of FeCoSnTe3.

abc: 7.169 7.169 10.624
angles: 90.00 90.00 150.25
Each line ends with the local moment (μB).
Positions (direct):
Co (0.000, 0.000, 0.000)  -0.15
Co (0.000, 0.000, 0.500)  -0.16
Fe (0.630, 0.370, 0.250)  1.60
Fe (0.370, 0.630, 0.750)  1.60
Sn (0.268, 0.732, 0.250)  -0.02
Sn (0.732, 0.268, 0.750)  -0.02
Te (0.626, 0.374, 0.011)  0.01
Te (0.998, 0.002, 0.250)  -0.01
Te (0.626, 0.374, 0.489)  0.01
Te (0.374, 0.626, 0.511)  0.01
Te (0.002, 0.998, 0.750)  -0.01
Te (0.374, 0.626, 0.989)  0.01

Values from the calculation:
Space-group type: Cmcm, No. 63
Energy relative to the lowest polymorph listed for this composition in meV per atom: 10

(6)
## FeCoSnTe3 (GGA-PBE)

Data for an optimized crystal structure of FeCoSnTe3.

abc: 7.165 7.165 10.644
angles: 90.00 90.00 29.61
Each line ends with the local moment (μB).
Positions (direct):
Co (0.362, 0.362, 0.250)  -0.09
Co (0.638, 0.638, 0.750)  -0.09
Fe (0.000, 0.000, 0.000)  1.80
Fe (0.000, 0.000, 0.500)  1.75
Sn (0.730, 0.730, 0.250)  0.01
Sn (0.270, 0.270, 0.750)  0.01
Te (0.368, 0.368, 0.014)  -0.02
Te (0.993, 0.993, 0.250)  -0.02
Te (0.368, 0.368, 0.486)  -0.02
Te (0.632, 0.632, 0.514)  -0.02
Te (0.007, 0.007, 0.750)  -0.01
Te (0.632, 0.632, 0.986)  -0.02

Values from the calculation:
Space-group type: Cmcm, No. 63
Energy relative to the lowest polymorph listed for this composition in meV per atom: 0

(7)
## FeCoSnW (GGA-PBE)

Data for an optimized crystal structure of FeCoSnW.

abc: 4.315 4.315 4.315
angles: 60.00 60.00 60.00
Each line ends with the local moment (μB).
Positions (direct):
Co (0.750, 0.750, 0.750)  1.09
Fe (0.250, 0.250, 0.250)  1.53
Sn (0.000, 0.000, 0.000)  -0.01
W (0.500, 0.500, 0.500)  0.13

Values from the calculation:
Space-group type: F-43m, No. 216
Energy relative to the lowest polymorph listed for this composition in meV per atom: 0

(8)
## FeCoSnW (GGA-PBE)

Data for an optimized crystal structure of FeCoSnW.

abc: 4.364 4.364 4.364
angles: 60.00 60.00 60.00
Positions (direct):
Co (0.500, 0.500, 0.500)
Fe (0.750, 0.750, 0.750)
Sn (0.000, 0.000, 0.000)
W (0.250, 0.250, 0.250)

Values from the calculation:
Space-group type: F-43m, No. 216
Energy relative to the lowest polymorph listed for this composition in meV per atom: 291

(9)
## ZrFeCoSn (GGA-PBE)

Data for an optimized crystal structure of ZrFeCoSn.

abc: 4.538 4.538 4.538
angles: 60.00 60.00 60.00
Each line ends with the local moment (μB).
Positions (direct):
Co (0.750, 0.750, 0.750)  1.35
Fe (0.500, 0.500, 0.500)  2.48
Sn (0.000, 0.000, 0.000)  0.00
Zr (0.250, 0.250, 0.250)  -0.31

Values from the calculation:
Space-group type: F-43m, No. 216
Energy relative to the lowest polymorph listed for this composition in meV per atom: 321

(10)
## ZrFeCoSn (GGA-PBE)

Data for an optimized crystal structure of ZrFeCoSn.

abc: 4.422 4.422 4.422
angles: 60.00 60.00 60.00
Each line ends with the local moment (μB).
Positions (direct):
Co (0.750, 0.750, 0.750)  0.52
Fe (0.250, 0.250, 0.250)  0.77
Sn (0.000, 0.000, 0.000)  -0.02
Zr (0.500, 0.500, 0.500)  -0.16

Values from the calculation:
Space-group type: F-43m, No. 216
Energy relative to the lowest polymorph listed for this composition in meV per atom: 0

(11)
## ZrFeCoSn (GGA-PBE)

Data for an optimized crystal structure of ZrFeCoSn.

abc: 4.546 4.546 4.546
angles: 60.00 60.00 60.00
Positions (direct):
Co (0.500, 0.500, 0.500)
Fe (0.750, 0.750, 0.750)
Sn (0.000, 0.000, 0.000)
Zr (0.250, 0.250, 0.250)

Values from the calculation:
Space-group type: F-43m, No. 216
Energy relative to the lowest polymorph listed for this composition in meV per atom: 363

(12)
## SrFeCo2 (GGA-PBE)

Data for an optimized crystal structure of SrFeCo2.

abc: 4.459 4.459 4.459
angles: 60.00 60.00 60.00
Positions (direct):
Co (0.000, 0.000, 0.000)
Co (0.750, 0.750, 0.750)
Fe (0.250, 0.250, 0.250)
Sr (0.500, 0.500, 0.500)

Values from the calculation:
Space-group type: F-43m, No. 216
E in eV per formula unit: -20.88

(13)
## FeCoTc2 (GGA-PBE)

Data for an optimized crystal structure of FeCoTc2.

abc: 2.621 4.167 4.511
angles: 90.00 90.00 90.00
Positions (direct):
Co (0.000, 0.000, 0.166)
Fe (0.000, 0.500, 0.837)
Tc (0.500, 0.500, 0.321)
Tc (0.500, 0.000, 0.676)

Values from the calculation:
Space-group type: Pmm2, No. 25
Formation energy in eV per atom: -0.024
Energy relative to the lowest polymorph listed for this composition in meV per atom: 0

(14)
## FeCo2Te4 (GGA-PBE)

Data for an optimized crystal structure of FeCo2Te4.

abc: 7.482 7.482 10.539
angles: 90.00 90.00 90.00
Each line ends with the local moment (μB).
Positions (direct):
Co (0.500, 0.758, 0.000)  0.03
Co (0.740, 0.260, 0.125)  -0.17
Co (0.242, 0.500, 0.250)  -0.01
Co (0.740, 0.740, 0.375)  -0.20
Co (0.500, 0.242, 0.500)  0.03
Co (0.260, 0.740, 0.625)  -0.19
Co (0.758, 0.500, 0.750)  0.00
Co (0.260, 0.260, 0.875)  -0.20
Fe (0.000, 0.763, 0.000)  1.64
Fe (0.237, 0.000, 0.250)  1.56
Fe (0.000, 0.237, 0.500)  1.57
Fe (0.763, 0.000, 0.750)  1.57
Te (0.254, 0.995, 0.003)  -0.02
Te (0.251, 0.522, 0.008)  -0.01
Te (0.478, 0.749, 0.242)  -0.01
Te (0.005, 0.746, 0.247)  -0.02
Te (0.005, 0.254, 0.253)  -0.03
Te (0.478, 0.251, 0.258)  -0.01
Te (0.251, 0.478, 0.492)  -0.01
Te (0.254, 0.005, 0.497)  -0.02
Te (0.746, 0.005, 0.503)  -0.02
Te (0.749, 0.478, 0.508)  -0.01
Te (0.522, 0.251, 0.742)  -0.01
Te (0.995, 0.254, 0.747)  -0.02
Te (0.995, 0.746, 0.753)  -0.02
Te (0.522, 0.749, 0.758)  -0.01
Te (0.749, 0.522, 0.992)  -0.01
Te (0.746, 0.995, 0.997)  -0.02

Values from the calculation:
Space-group type: P4_122, No. 91
Energy relative to the lowest polymorph listed for this composition in meV per atom: 0

(15)
## Fe2CoTe (GGA-PBE)

Data for an optimized crystal structure of Fe2CoTe.

abc: 4.250 4.250 4.250
angles: 60.00 60.00 60.00
Positions (direct):
Co (0.250, 0.250, 0.250)
Fe (0.000, 0.000, 0.000)
Fe (0.750, 0.750, 0.750)
Te (0.500, 0.500, 0.500)

Values from the calculation:
Space-group type: F-43m, No. 216
E in eV per formula unit: -25.94

(16)
## FeCo2Te4 (GGA-PBE)

Data for an optimized crystal structure of FeCo2Te4.

abc: 7.536 7.536 10.597
angles: 90.00 90.00 90.00
Each line ends with the local moment (μB).
Positions (direct):
Co (0.500, 0.751, 0.000)  -0.18
Co (0.000, 0.751, 0.000)  -0.17
Co (0.249, 0.000, 0.250)  -0.16
Co (0.249, 0.500, 0.250)  -0.18
Co (0.000, 0.249, 0.500)  -0.18
Co (0.500, 0.249, 0.500)  -0.16
Co (0.751, 0.000, 0.750)  -0.18
Co (0.751, 0.500, 0.750)  -0.16
Fe (0.749, 0.251, 0.125)  2.18
Fe (0.749, 0.749, 0.375)  2.18
Fe (0.251, 0.749, 0.625)  2.18
Fe (0.251, 0.251, 0.875)  2.18
Te (0.250, 0.981, 0.008)  -0.03
Te (0.250, 0.521, 0.009)  -0.03
Te (0.479, 0.750, 0.241)  -0.02
Te (0.019, 0.750, 0.242)  -0.03
Te (0.019, 0.250, 0.258)  -0.02
Te (0.479, 0.250, 0.259)  -0.03
Te (0.250, 0.479, 0.491)  -0.03
Te (0.250, 0.019, 0.492)  -0.03
Te (0.750, 0.019, 0.508)  -0.03
Te (0.750, 0.479, 0.509)  -0.03
Te (0.521, 0.250, 0.741)  -0.03
Te (0.981, 0.250, 0.742)  -0.02
Te (0.981, 0.750, 0.758)  -0.02
Te (0.521, 0.750, 0.759)  -0.02
Te (0.750, 0.521, 0.991)  -0.03
Te (0.750, 0.981, 0.992)  -0.03

Values from the calculation:
Space-group type: P4_122, No. 91
Energy relative to the lowest polymorph listed for this composition in meV per atom: 2

(17)
## FeCoTe2 (GGA-PBE)

Data for an optimized crystal structure of FeCoTe2.

abc: 7.105 7.105 7.105
angles: 131.52 131.52 70.99
Each line ends with the local moment (μB).
Positions (direct):
Co (0.000, 0.000, 0.000)  -1.28
Co (0.750, 0.250, 0.500)  -1.29
Fe (0.500, 0.500, 0.000)  2.79
Fe (0.250, 0.750, 0.500)  2.78
Te (0.375, 0.886, 0.011)  -0.01
Te (0.114, 0.125, 0.489)  -0.01
Te (0.636, 0.625, 0.511)  -0.01
Te (0.875, 0.364, 0.989)  -0.01

Values from the calculation:
Space-group type: I-42d, No. 122
E in eV per formula unit: -20.94

(18)
## Fe2CoTe4 (GGA-PBE)

Data for an optimized crystal structure of Fe2CoTe4.

abc: 7.567 7.567 10.676
angles: 90.00 90.00 90.00
Each line ends with the local moment (μB).
Positions (direct):
Co (0.500, 0.248, 0.000)  -0.03
Co (0.752, 0.500, 0.250)  -0.06
Co (0.500, 0.752, 0.500)  -0.05
Co (0.248, 0.500, 0.750)  -0.07
Fe (0.000, 0.247, 0.000)  0.49
Fe (0.254, 0.746, 0.125)  2.33
Fe (0.753, 0.000, 0.250)  0.47
Fe (0.254, 0.254, 0.375)  2.32
Fe (0.000, 0.753, 0.500)  0.51
Fe (0.746, 0.254, 0.625)  2.35
Fe (0.247, 0.000, 0.750)  0.46
Fe (0.746, 0.746, 0.875)  2.32
Te (0.751, 0.476, 0.010)  -0.03
Te (0.750, 0.017, 0.010)  -0.04
Te (0.983, 0.250, 0.240)  -0.03
Te (0.524, 0.249, 0.240)  -0.03
Te (0.524, 0.751, 0.260)  -0.02
Te (0.983, 0.750, 0.260)  -0.04
Te (0.750, 0.983, 0.490)  -0.04
Te (0.751, 0.524, 0.490)  -0.03
Te (0.249, 0.524, 0.510)  -0.03
Te (0.250, 0.983, 0.510)  -0.04
Te (0.017, 0.750, 0.740)  -0.04
Te (0.476, 0.751, 0.740)  -0.02
Te (0.476, 0.249, 0.760)  -0.03
Te (0.017, 0.250, 0.760)  -0.03
Te (0.250, 0.017, 0.990)  -0.04
Te (0.249, 0.476, 0.990)  -0.03

Values from the calculation:
Space-group type: P4_122, No. 91
E in eV per formula unit: -36.27

(19)
## ThFeCo (GGA-PBE)

Data for an optimized crystal structure of ThFeCo.

abc: 4.276 4.276 4.276
angles: 60.00 60.00 60.00
Each line ends with the local moment (μB).
Positions (direct):
Co (0.000, 0.000, 0.000)  0.38
Fe (0.500, 0.500, 0.500)  1.02
Th (0.250, 0.250, 0.250)  -0.24

Values from the calculation:
Space-group type: F-43m, No. 216
Formation energy in eV per atom: 0.659

(20)
## ThFeCo (GGA-PBE)

Data for an optimized crystal structure of ThFeCo.

abc: 4.372 4.372 4.372
angles: 60.00 60.00 60.00
Positions (direct):
Co (0.000, 0.000, 0.000)
Fe (0.250, 0.250, 0.250)
Th (0.750, 0.750, 0.750)

Values from the calculation:
Space-group type: F-43m, No. 216
Formation energy in eV per atom: 0.235